Record 1
This record from Alexandria via LeMat-Bulk describes a relaxed HoPt2 crystal. The functional is PBEsol.

**Energy of formation**: -1.12 eV per atom
**Energy**: -7.4139 eV per atom
**DOS at the Fermi energy**: 0.473 states/eV per atom
**M_tot**: 0.0 μB per formula unit

```
data_HoPt2
_chemical_formula_sum 'Ho2 Pt4'
_cell_length_a 5.347
_cell_length_b 5.347
_cell_length_c 5.347
_cell_angle_alpha 60.00
_cell_angle_beta 60.00
_cell_angle_gamma 60.00
_symmetry_space_group_name_H-M 'P 1'
_symmetry_Int_Tables_number 1
loop_
_symmetry_equiv_pos_as_xyz
'x,y,z'
loop_
_atom_site_label
_atom_site_fract_x
_atom_site_fract_y
_atom_site_fract_z
Ho1 0.125 0.125 0.125
Ho2 0.875 0.875 0.875
Pt1 0.000 0.500 0.500
Pt2 0.500 0.000 0.500
Pt3 0.500 0.500 0.000
Pt4 0.500 0.500 0.500
```

=====

Record 2
This record from Alexandria via LeMat-Bulk describes a relaxed Rb5NdHfMo6O24 crystal. The functional is PBEsol.

**Energy**: -8.1884 eV per atom
**DOS at the Fermi energy**: 0.000 states/eV per atom
**Formation energy without anion corrections**: -2313 meV per atom
**M_tot**: 0.0 μB per formula unit

```
data_Rb5NdHfMo6O24
_chemical_formula_sum 'Rb10 Nd2 Hf2 Mo12 O48'
_cell_length_a 14.367
_cell_length_b 14.367
_cell_length_c 14.367
_cell_angle_alpha 44.43
_cell_angle_beta 44.43
_cell_angle_gamma 44.43
_symmetry_space_group_name_H-M 'P 1'
_symmetry_Int_Tables_number 1
loop_
_symmetry_equiv_pos_as_xyz
'x,y,z'
loop_
_atom_site_label
_atom_site_fract_x
_atom_site_fract_y
_atom_site_fract_z
Rb1 0.142 0.750 0.358
Rb2 0.147 0.147 0.147
Rb3 0.250 0.642 0.858
Rb4 0.353 0.353 0.353
Rb5 0.358 0.142 0.750
Rb6 0.642 0.858 0.250
Rb7 0.647 0.647 0.647
Rb8 0.750 0.358 0.142
Rb9 0.853 0.853 0.853
Rb10 0.858 0.250 0.642
Nd1 0.000 0.000 0.000
Nd2 0.500 0.500 0.500
Hf1 0.250 0.250 0.250
Hf2 0.750 0.750 0.750
Mo1 0.028 0.609 0.261
Mo2 0.109 0.528 0.761
Mo3 0.239 0.891 0.472
Mo4 0.261 0.028 0.609
Mo5 0.391 0.739 0.972
Mo6 0.472 0.239 0.891
Mo7 0.528 0.761 0.109
Mo8 0.609 0.261 0.028
Mo9 0.739 0.972 0.391
Mo10 0.761 0.109 0.528
Mo11 0.891 0.472 0.239
Mo12 0.972 0.391 0.739
O1 0.003 0.778 0.106
O2 0.042 0.320 0.295
O3 0.074 0.616 0.339
O4 0.086 0.366 0.887
O5 0.106 0.003 0.778
O6 0.113 0.914 0.634
O7 0.116 0.574 0.839
O8 0.134 0.414 0.613
O9 0.161 0.884 0.426
O10 0.180 0.458 0.205
O11 0.205 0.180 0.458
O12 0.222 0.894 0.997
O13 0.278 0.503 0.606
O14 0.295 0.042 0.320
O15 0.320 0.295 0.042
O16 0.339 0.074 0.616
O17 0.366 0.887 0.086
O18 0.384 0.661 0.926
O19 0.387 0.866 0.586
O20 0.394 0.722 0.497
O21 0.414 0.613 0.134
O22 0.426 0.161 0.884
O23 0.458 0.205 0.180
O24 0.497 0.394 0.722
O25 0.503 0.606 0.278
O26 0.542 0.795 0.820
O27 0.574 0.839 0.116
O28 0.586 0.387 0.866
O29 0.606 0.278 0.503
O30 0.613 0.134 0.414
O31 0.616 0.339 0.074
O32 0.634 0.113 0.914
O33 0.661 0.926 0.384
O34 0.680 0.705 0.958
O35 0.705 0.958 0.680
O36 0.722 0.497 0.394
O37 0.778 0.106 0.003
O38 0.795 0.820 0.542
O39 0.820 0.542 0.795
O40 0.839 0.116 0.574
O41 0.866 0.586 0.387
O42 0.884 0.426 0.161
O43 0.887 0.086 0.366
O44 0.894 0.997 0.222
O45 0.914 0.634 0.113
O46 0.926 0.384 0.661
O47 0.958 0.680 0.705
O48 0.997 0.222 0.894
```

=====

Record 3
This record from Alexandria via LeMat-Bulk describes a relaxed La2ZnSiSe crystal. The functional is PBEsol.

**Energy**: -4.6822 eV per atom
**DOS at the Fermi energy**: 0.594 states/eV per atom
**Formation energy without anion corrections**: -308 meV per atom
**M_tot**: 0.0 μB per formula unit

```
data_La2ZnSiSe
_chemical_formula_sum 'La2 Zn1 Si1 Se1'
_cell_length_a 5.575
_cell_length_b 5.575
_cell_length_c 4.612
_cell_angle_alpha 90.00
_cell_angle_beta 90.00
_cell_angle_gamma 90.00
_symmetry_space_group_name_H-M 'P 1'
_symmetry_Int_Tables_number 1
loop_
_symmetry_equiv_pos_as_xyz
'x,y,z'
loop_
_atom_site_label
_atom_site_fract_x
_atom_site_fract_y
_atom_site_fract_z
La1 0.000 0.500 0.000
La2 0.500 0.000 0.000
Zn1 0.000 0.000 0.500
Si1 0.500 0.500 0.500
Se1 0.000 0.000 0.000
```